Entry 1:
Material: BrCl5
Method: DFT, PBE
State: optimized geometry

Properties
symmetry = No. 123

a b c (Å): 2.6796 2.6796 24.7198
angles (deg): 90.00 90.00 90.00
Closest atoms and distances in Å follow each position.
Atoms (fractional coordinates):
Br  0.5000  0.5000  0.0000  4 Br 2.68
Cl  0.0000  0.0000  0.8385  4 Cl 2.68
Cl  0.0000  0.0000  0.1615  4 Cl 2.68
Cl  0.5000  0.5000  0.6675  4 Cl 2.68
Cl  0.5000  0.5000  0.3325  4 Cl 2.68
Cl  0.0000  0.0000  0.5000  4 Cl 2.68

Entry 2:
Material: BrCl
Method: DFT, PBE
State: optimized geometry

Properties
symmetry = No. 83

a b c (Å): 12.2280 12.2280 4.5738
angles (deg): 90.00 90.00 90.00
Closest atoms and distances in Å follow each position.
Atoms (fractional coordinates):
Br  0.6861  0.5937  0.5000  2 Cl 2.36-2.48
Br  0.3139  0.4063  0.5000  2 Cl 2.36-2.48
Br  0.4063  0.6861  0.5000  2 Cl 2.36-2.48
Br  0.5937  0.3139  0.5000  2 Cl 2.36-2.48
Br  0.8402  0.8674  0.0000  2 Cl 2.42
Br  0.1598  0.1326  0.0000  2 Cl 2.42
Br  0.1326  0.8402  0.0000  2 Cl 2.42
Br  0.8674  0.1598  0.0000  2 Cl 2.42
Cl  0.5813  0.7675  0.5000  2 Br 2.36-2.48
Cl  0.4187  0.2325  0.5000  2 Br 2.36-2.48
Cl  0.2325  0.5813  0.5000  2 Br 2.36-2.48
Cl  0.7675  0.4187  0.5000  2 Br 2.36-2.48
Cl  0.0257  0.2780  0.0000  2 Br 2.42
Cl  0.9743  0.7220  0.0000  2 Br 2.42
Cl  0.7220  0.0257  0.0000  2 Br 2.42
Cl  0.2780  0.9743  0.0000  2 Br 2.42

Entry 3:
Material: BrCl
Method: DFT, PBE
State: optimized geometry

Properties
symmetry = No. 129

a b c (Å): 3.7073 3.7073 7.5058
angles (deg): 90.00 90.00 90.00
Closest atoms and distances in Å follow each position.
Atoms (fractional coordinates):
Br  0.0000  0.0000  0.0135  5 Cl 3.04-3.22, 4 Br 3.11
Br  0.5000  0.5000  0.2365  5 Cl 3.04-3.22, 4 Br 3.11
Cl  0.0000  0.0000  0.4429  5 Br 3.04-3.22
Cl  0.5000  0.5000  0.8071  5 Br 3.04-3.22

Entry 4:
Material: BrCl
Method: DFT, PBE
State: optimized geometry

Properties
symmetry = No. 186

a b c (Å): 4.4789 4.4789 9.4102
angles (deg): 90.00 90.00 120.00
Closest atoms and distances in Å follow each position.
Atoms (fractional coordinates):
Br  0.3333  0.6667  0.6561  1 Cl 2.17
Br  0.6667  0.3333  0.1561  1 Cl 2.17
Cl  0.3333  0.6667  0.4259  1 Br 2.17
Cl  0.6667  0.3333  0.9259  1 Br 2.17

Entry 5:
Material: BrCl2
Method: DFT, PBE
State: optimized geometry

Properties
symmetry = No. 139

a b c (Å): 12.3859 12.3859 12.3859
angles (deg): 167.37 167.37 17.90
Closest atoms and distances in Å follow each position.
Atoms (fractional coordinates):
Br  0.5000  0.5000  0.0000  4 Br 2.73
Cl  0.1647  0.1647  0.0000  4 Cl 2.73
Cl  0.8353  0.8353  0.0000  4 Cl 2.73

Entry 6:
Material: BrCl
Method: DFT, PBE
State: optimized geometry

Properties
symmetry = No. 2

a b c (Å): 4.5854 7.5870 8.0150
angles (deg): 37.08 89.38 91.06
Closest atoms and distances in Å follow each position.
Atoms (fractional coordinates):
Br  0.0230  0.2611  0.2878  1 Br 2.40
Br  0.9770  0.7389  0.7122  1 Br 2.40
Cl  0.5472  0.8427  0.1998  1 Cl 2.00
Cl  0.4528  0.1573  0.8002  1 Cl 2.00

Uncorrected energy readings, ordered: -1.443 -1.763 -1.040 -1.689 -1.429 -1.711 eV per atom